Density functional theory data (PBE+U) for an optimized crystal structure of CoIr2F.

abc: 6.963 6.963 4.734
angles: 90.00 90.00 90.00
Space group I-42d (No. 122)
One atom of each set of equivalent atoms:
Co (0.000, 0.000, 0.000) (multiplicity 4)
Ir (0.206, 0.250, 0.625) (multiplicity 8)
F (0.000, 0.000, 0.500) (multiplicity 4)

## Properties
electronic total energy	-5.51	eV per atom
magnetization	11.12	μB per cell